Compound: PaSb
Source: OQMD
Functional: GGA-PBE
Structure: optimized geometry

The structure in CIF format:
```
data_PaSb
_cell_length_a 7.012
_cell_length_b 7.012
_cell_length_c 7.012
_cell_angle_alpha 90.00
_cell_angle_beta 90.00
_cell_angle_gamma 90.00
_symmetry_space_group_name_H-M 'F -4 3 m'
_symmetry_Int_Tables_number 216
_symmetry_space_group_name_Hall 'F -4 2 3'
loop_
_atom_site_label
_atom_site_type_symbol
_atom_site_fract_x
_atom_site_fract_y
_atom_site_fract_z
Pa1 Pa 0.000 0.000 0.000
Sb1 Sb 0.250 0.250 0.750
```

Total magnetic moment ... 1.001 μB per atom
Energy above the most stable polymorph in this dataset ... 953 meV per atom
Uncorrected energy ... -6.293 eV per atom

***

Compound: PaSb
Source: OQMD
Functional: GGA-PBE
Structure: optimized geometry

The structure in CIF format:
```
data_PaSb
_cell_length_a 6.167
_cell_length_b 6.167
_cell_length_c 6.167
_cell_angle_alpha 90.00
_cell_angle_beta 90.00
_cell_angle_gamma 90.00
_symmetry_space_group_name_H-M 'F m -3 m'
_symmetry_Int_Tables_number 225
_symmetry_space_group_name_Hall '-F 4 2 3'
loop_
_atom_site_label
_atom_site_type_symbol
_atom_site_fract_x
_atom_site_fract_y
_atom_site_fract_z
Pa1 Pa 0.000 0.000 0.000
Sb1 Sb 0.000 0.000 0.500
```

Total magnetic moment ... 0.008 μB per atom
Energy above the most stable polymorph in this dataset ... 0 meV per atom
Uncorrected energy ... -7.246 eV per atom

***

Compound: PaSb
Source: OQMD
Functional: GGA-PBE
Structure: optimized geometry

The structure in CIF format:
```
data_PaSb
_cell_length_a 4.1027
_cell_length_b 4.1027
_cell_length_c 7.9182
_cell_angle_alpha 90.00
_cell_angle_beta 90.00
_cell_angle_gamma 120.00
_symmetry_space_group_name_H-M 'P 63/m m c'
_symmetry_Int_Tables_number 194
_symmetry_space_group_name_Hall '-P 6c 2c'
loop_
_atom_site_label
_atom_site_type_symbol
_atom_site_fract_x
_atom_site_fract_y
_atom_site_fract_z
Pa1 Pa 0.3333 0.6667 0.2500
Sb1 Sb 0.0000 0.0000 0.0000
```

Total magnetic moment ... 0.023 μB per atom
Energy above the most stable polymorph in this dataset ... 71 meV per atom
Uncorrected energy ... -7.174 eV per atom

***

Compound: PaSb
Source: OQMD
Functional: GGA-PBE
Structure: optimized geometry

The structure in CIF format:
```
data_PaSb
_cell_length_a 3.3392
_cell_length_b 3.3392
_cell_length_c 5.2672
_cell_angle_alpha 90.00
_cell_angle_beta 90.00
_cell_angle_gamma 120.00
_symmetry_space_group_name_H-M 'P -6 m 2'
_symmetry_Int_Tables_number 187
_symmetry_space_group_name_Hall 'P -6 2'
loop_
_atom_site_label
_atom_site_type_symbol
_atom_site_fract_x
_atom_site_fract_y
_atom_site_fract_z
Pa1 Pa 0.0000 0.0000 0.0000
Sb1 Sb 0.6667 0.3333 0.5000
```

Total magnetic moment ... 0.019 μB per atom
Energy above the most stable polymorph in this dataset ... 188 meV per atom
Uncorrected energy ... -7.058 eV per atom